Here is an optimized crystal structure of NiTeRh from the Alexandria database. Energies are from PBE-GGA.

Cell and atoms, written as POSCAR:
```
NiTeRh
1.0
-1.633 -0.402 -3.769
0.755 -3.350 2.290
-3.074 0.203 1.310
Ni Rh Te
1 1 1
direct
0.000 0.000 0.911 Ni
0.333 0.667 0.363 Rh
0.667 0.333 0.726 Te
```

Calculated values
raw total energy: -5.354 eV/atom
raw formation energy: 70.5 meV/atom
symmetry: P3m1



Here is an optimized crystal structure of Tb2PrAgHg4 from the Alexandria database. Energies are from PBE-GGA.

Cell and atoms, written as POSCAR:
```
Tb2PrAgHg4
1.0
-3.214 -3.680 1.468
1.084 -2.853 4.088
-5.076 3.746 7.144
Tb Pr Ag Hg
2 1 1 4
direct
0.761 0.761 0.716 Tb
0.239 0.239 0.284 Tb
0.000 0.000 0.000 Pr
0.500 0.500 0.500 Ag
0.381 0.381 0.857 Hg
0.875 0.875 0.376 Hg
0.125 0.125 0.624 Hg
0.619 0.619 0.143 Hg
```

Calculated values
raw total energy: -2.644 eV/atom
formation energy: -295 kJ/mol of formula units
symmetry: R-3m



Here is an optimized crystal structure of PmPrGePb from the Alexandria database. Energies are from PBE-GGA.

Cell and atoms, written as POSCAR:
```
PmPrGePb
1.0
-2.396 -1.962 -4.458
1.551 -4.789 -2.030
-3.298 -4.296 0.359
Pb Pr Ge Pm
1 1 1 1
direct
0.750 0.750 0.750 Pb
0.500 0.500 0.500 Pr
0.250 0.250 0.250 Ge
0.000 0.000 0.000 Pm
```

Calculated values
raw total energy: -4.915 eV/atom
formation energy: -174 kJ/mol of formula units
symmetry: F-43m



Here is an optimized crystal structure of Na2AlGaTe5 from the Alexandria database. Energies are from PBE-GGA.

Cell and atoms, written as POSCAR:
```
Na2AlGaTe5
1.0
3.634 0.000 0.000
-1.817 10.743 0.000
0.000 0.000 14.507
Na Al Ga Te
4 2 2 10
direct
0.877 0.755 0.775 Na
0.106 0.212 0.652 Na
0.123 0.245 0.275 Na
0.894 0.788 0.152 Na
0.758 0.517 0.531 Al
0.242 0.483 0.031 Al
0.575 0.150 0.951 Ga
0.425 0.850 0.451 Ga
0.358 0.717 0.972 Te
0.694 0.388 0.905 Te
0.516 0.032 0.791 Te
0.262 0.523 0.673 Te
0.956 0.911 0.572 Te
0.642 0.283 0.472 Te
0.306 0.612 0.405 Te
0.484 0.968 0.291 Te
0.738 0.477 0.173 Te
0.044 0.089 0.072 Te
```

Calculated values
raw total energy: -3.245 eV/atom
raw formation energy: -454.5 meV/atom
symmetry: Cmc2_1



Here is an optimized crystal structure of ReH3Se from the Alexandria database. Energies are from PBE-GGA.

Cell and atoms, written as POSCAR:
```
ReH3Se
1.0
3.577 0.000 0.000
0.000 3.577 0.000
0.000 0.000 3.577
Re Se H
1 1 3
direct
0.000 0.000 0.000 Re
0.500 0.500 0.500 Se
0.000 0.500 0.000 H
0.000 0.000 0.500 H
0.500 0.000 0.000 H
```

Calculated values
distance to the lowest polymorph of the same formula: 0 meV per atom
raw total energy: -4.451 eV/atom
symmetry: Pm-3m



Here is an optimized crystal structure of SrRe3I from the Alexandria database. Energies are from PBE-GGA.

Cell and atoms, written as POSCAR:
```
SrRe3I
1.0
-2.027 4.004 -2.164
0.135 -2.316 -4.409
-4.549 -1.852 0.834
I Re Sr
1 3 1
direct
0.500 0.500 0.500 I
0.000 0.500 0.000 Re
0.000 0.000 0.500 Re
0.500 0.000 0.000 Re
0.000 0.000 0.000 Sr
```

Calculated values
distance to the lowest polymorph of the same formula: 1626 meV per atom
raw total energy: -4.218 eV/atom
raw formation energy: 3897.2 meV/atom
symmetry: Pm-3m



Here is an optimized crystal structure of Re2NiW from the Alexandria database. Energies are from PBE-GGA.

Cell and atoms, written as POSCAR:
```
Re2NiW
1.0
4.372 0.000 0.000
0.000 2.641 -0.005
0.000 0.780 5.038
Ni Re W
1 2 1
direct
0.500 0.750 0.750 Ni
0.000 0.005 0.990 Re
0.000 0.495 0.510 Re
0.500 0.250 0.250 W
```

Calculated values
distance to the lowest polymorph of the same formula: 142 meV per atom
raw total energy: -10.754 eV/atom
formation energy: 59 kJ/mol of formula units
symmetry: P2/m



Here is an optimized crystal structure of TcSe from the Alexandria database. Energies are from PBE-GGA.

Cell and atoms, written as POSCAR:
```
TcSe
1.0
4.229 0.000 0.000
3.116 2.859 0.000
3.116 1.213 2.589
Se Tc
1 1
direct
0.000 0.000 0.000 Se
0.500 0.500 0.500 Tc
```

Calculated values
distance to the lowest polymorph of the same formula: 371 meV per atom
raw total energy: -6.760 eV/atom
raw formation energy: 164.9 meV/atom
symmetry: R-3m